[1]
! Li8Mg2Zn PBE-GGA optimized geometry; values from VASP
&SYSTEM
  ibrav = 0, nat = 11, ntyp = 3
/
ATOMIC_SPECIES
Mg 24.30 Mg.upf
Li 6.94 Li.upf
Zn 65.41 Zn.upf
ATOMIC_POSITIONS crystal
Mg 0.342 0.869 0.869
Li 0.275 0.854 0.355
Li 0.725 0.146 0.645
Li 0.409 0.356 0.356
Li 0.036 0.315 0.315
Li 0.275 0.355 0.854
Li 0.725 0.645 0.146
Li 0.964 0.685 0.685
Li 0.591 0.644 0.644
Zn 0.000 0.000 0.000
Mg 0.658 0.131 0.131
CELL_PARAMETERS angstrom
-0.502 5.759 -4.738
2.810 -3.482 -3.621
-3.144 -3.632 -3.171
! Uncorrected energy (eV/atom): -1.798
! Size of the total moment (μB per formula unit): 0.00
! Formation energy from the elements (eV per atom): 0.00


[2]
! Pm2Mg3Hg2 PBE-GGA optimized geometry; values from VASP
&SYSTEM
  ibrav = 0, nat = 7, ntyp = 3
/
ATOMIC_SPECIES
Mg 24.30 Mg.upf
Pm 145.00 Pm.upf
Hg 200.59 Hg.upf
ATOMIC_POSITIONS crystal
Mg 0.307 0.614 0.127
Mg 0.693 0.386 0.873
Pm 0.615 0.231 0.352
Hg 0.102 0.204 0.665
Mg 0.000 0.000 0.000
Pm 0.385 0.769 0.648
Hg 0.898 0.796 0.335
CELL_PARAMETERS angstrom
-1.682 -0.225 -4.333
-1.778 -4.486 3.422
-5.309 4.738 1.814
! Uncorrected energy (eV/atom): -2.390
! Size of the total moment (μB per formula unit): 0.00
! Formation energy from the elements (eV per atom): -0.26


[3]
! Li2TbMgAu4 PBE-GGA optimized geometry; values from VASP
&SYSTEM
  ibrav = 0, nat = 8, ntyp = 4
/
ATOMIC_SPECIES
Au 196.97 Au.upf
Tb 158.93 Tb.upf
Mg 24.30 Mg.upf
Li 6.94 Li.upf
ATOMIC_POSITIONS crystal
Au 0.126 0.126 0.621
Tb 0.000 0.000 0.000
Mg 0.500 0.500 0.500
Li 0.757 0.757 0.730
Au 0.874 0.874 0.379
Li 0.243 0.243 0.270
Au 0.612 0.612 0.165
Au 0.388 0.388 0.835
CELL_PARAMETERS angstrom
-0.674 -4.365 -1.410
2.734 -1.829 -3.268
5.753 -4.690 4.149
! Uncorrected energy (eV/atom): -3.536
! Size of the total moment (μB per formula unit): 0.00
! Formation energy from the elements (eV per atom): -0.64


[4]
! LiDyGa2Pd PBE-GGA optimized geometry; values from VASP
&SYSTEM
  ibrav = 0, nat = 5, ntyp = 4
/
ATOMIC_SPECIES
Ga 69.72 Ga.upf
Li 6.94 Li.upf
Dy 162.50 Dy.upf
Pd 106.42 Pd.upf
ATOMIC_POSITIONS crystal
Ga 0.611 0.611 0.223
Ga 0.389 0.389 0.777
Li 0.250 0.750 0.500
Dy 0.000 0.000 0.000
Pd 0.750 0.250 0.500
CELL_PARAMETERS angstrom
-1.090 -1.382 -3.574
-2.218 -2.803 1.760
-2.893 5.688 0.903
! Uncorrected energy (eV/atom): -4.145
! Size of the total moment (μB per formula unit): 0.00
! Formation energy from the elements (eV per atom): -0.59


[5]
! AcTbRh2 PBE-GGA optimized geometry; values from VASP
&SYSTEM
  ibrav = 0, nat = 4, ntyp = 3
/
ATOMIC_SPECIES
Tb 158.93 Tb.upf
Rh 102.91 Rh.upf
Ac 227.00 Ac.upf
ATOMIC_POSITIONS crystal
Tb 0.500 0.500 0.000
Rh 0.000 0.000 0.777
Rh 0.000 0.000 0.223
Ac 0.500 0.500 0.500
CELL_PARAMETERS angstrom
3.551 0.000 0.000
0.000 3.551 0.000
0.000 0.000 7.252
! Uncorrected energy (eV/atom): -6.507
! Size of the total moment (μB per formula unit): 0.00
! Formation energy from the elements (eV per atom): -0.65


[6]
! Ac2TeN PBE-GGA optimized geometry; values from VASP
&SYSTEM
  ibrav = 0, nat = 4, ntyp = 3
/
ATOMIC_SPECIES
Te 127.60 Te.upf
Ac 227.00 Ac.upf
N 14.01 N.upf
ATOMIC_POSITIONS crystal
Te 0.499 0.499 0.503
Ac 0.061 0.061 0.816
Ac 0.268 0.268 0.196
N 0.672 0.672 0.985
CELL_PARAMETERS angstrom
-2.830 1.131 -2.790
-0.495 -2.213 -3.455
-6.368 -4.742 1.478
! Uncorrected energy (eV/atom): -6.126
! Size of the total moment (μB per formula unit): 0.79


[7]
! Ca2ZnCl PBE-GGA optimized geometry; values from VASP
&SYSTEM
  ibrav = 0, nat = 4, ntyp = 3
/
ATOMIC_SPECIES
Ca 40.08 Ca.upf
Cl 35.45 Cl.upf
Zn 65.41 Zn.upf
ATOMIC_POSITIONS crystal
Ca 0.529 0.529 0.000
Cl 0.750 0.250 0.500
Zn 0.250 0.750 0.500
Ca 0.971 0.971 0.000
CELL_PARAMETERS angstrom
5.983 0.003 0.000
1.047 5.891 0.000
-2.315 -4.378 3.357
! Uncorrected energy (eV/atom): -2.470
! Size of the total moment (μB per formula unit): 0.00


[8]
! AlZnFe2 PBE-GGA optimized geometry; values from VASP
&SYSTEM
  ibrav = 0, nat = 4, ntyp = 3
/
ATOMIC_SPECIES
Fe 55.84 Fe.upf
Al 26.98 Al.upf
Zn 65.41 Zn.upf
ATOMIC_POSITIONS crystal
Fe 0.250 0.750 0.500
Al 0.750 0.250 0.500
Zn 0.500 0.500 0.000
Fe 0.000 0.000 0.000
CELL_PARAMETERS angstrom
4.632 0.022 0.000
1.757 4.286 0.000
-3.194 -2.154 2.571
! Uncorrected energy (eV/atom): -5.585
! Size of the total moment (μB per formula unit): 4.45
! Formation energy from the elements (eV per atom): -0.10


[9]
! Nd7Tl4Cd PBE-GGA optimized geometry; values from VASP
&SYSTEM
  ibrav = 0, nat = 12, ntyp = 3
/
ATOMIC_SPECIES
Nd 144.24 Nd.upf
Tl 204.38 Tl.upf
Cd 112.41 Cd.upf
ATOMIC_POSITIONS crystal
Nd 0.285 0.608 0.822
Nd 0.165 0.073 0.597
Nd 0.835 0.927 0.403
Nd 0.500 0.000 0.000
Tl 0.558 0.292 0.592
Nd 0.069 0.600 0.262
Tl 0.711 0.756 0.821
Tl 0.289 0.244 0.179
Nd 0.931 0.400 0.738
Cd 0.000 0.000 0.000
Nd 0.715 0.392 0.178
Tl 0.442 0.708 0.408
CELL_PARAMETERS angstrom
-3.794 2.416 -3.628
-1.749 -5.885 -6.692
-7.639 -4.903 0.120
! Uncorrected energy (eV/atom): -3.830
! Size of the total moment (μB per formula unit): 0.00
! Formation energy from the elements (eV per atom): -0.18


[10]
! Pu4MnGa3 PBE-GGA optimized geometry; values from VASP
&SYSTEM
  ibrav = 0, nat = 8, ntyp = 3
/
ATOMIC_SPECIES
Pu 244.00 Pu.upf
Mn 54.94 Mn.upf
Ga 69.72 Ga.upf
ATOMIC_POSITIONS crystal
Pu 0.000 0.000 0.000
Mn 0.500 0.500 0.000
Ga 0.500 0.000 0.251
Pu 0.000 0.500 0.229
Pu 0.000 0.500 0.771
Ga 0.500 0.000 0.749
Pu 0.000 0.000 0.500
Ga 0.500 0.500 0.500
CELL_PARAMETERS angstrom
-0.376 -2.911 0.914
4.521 0.375 3.053
-5.735 3.282 8.089
! Uncorrected energy (eV/atom): -9.536
! Size of the total moment (μB per formula unit): 3.06
! Formation energy from the elements (eV per atom): -0.09